[1]
Crystalline GdMnPt2 at its relaxed geometry. Source: Alexandria, functional PBE.

```
GdMnPt2
1.0
3.354 0.000 0.000
0.000 3.354 0.000
0.000 0.000 6.596
Gd Mn Pt
1 1 2
Direct
0.000 0.000 0.000
0.000 0.000 0.500
0.500 0.500 0.281
0.500 0.500 0.719
```

Properties
Distance to the lowest polymorph of the same formula: 0.000 eV per atom
E: -9.54 eV per atom
Energy of formation: -0.704 eV per atom

[2]
Crystalline Sr2YP at its relaxed geometry. Source: Alexandria, functional PBE.

```
Sr2YP
1.0
2.107 1.216 10.361
-2.107 1.216 10.361
0.000 -2.433 10.361
Sr Y P
2 1 1
Direct
0.220 0.220 0.220
0.780 0.780 0.780
0.000 0.000 0.000
0.500 0.500 0.500
```

Properties
E: -4.13 eV per atom
Energy of formation: -0.316 eV per atom

[3]
Crystalline ScCdOs3 at its relaxed geometry. Source: Alexandria, functional PBE.

```
ScCdOs3
1.0
4.793 0.000 0.000
0.000 4.793 0.000
0.000 0.000 4.793
Sc Cd Os
1 1 3
Direct
0.000 0.000 0.000
0.500 0.500 0.500
0.000 0.500 0.500
0.500 0.000 0.500
0.500 0.500 0.000
```

Properties
Distance to the lowest polymorph of the same formula: 0.306 eV per atom
E: -5.76 eV per atom
Energy of formation: 2.425 eV per atom

[4]
Crystalline SrRe3Se at its relaxed geometry. Source: Alexandria, functional PBE.

```
SrRe3Se
1.0
4.696 0.000 0.000
0.000 4.696 0.000
0.000 0.000 4.696
Sr Re Se
1 3 1
Direct
0.000 0.000 0.000
0.000 0.500 0.500
0.500 0.000 0.500
0.500 0.500 0.000
0.500 0.500 0.500
```

Properties
Distance to the lowest polymorph of the same formula: 0.000 eV per atom
E: -7.10 eV per atom
Formation energy (no corrections): 1.402 eV/atom

[5]
Crystalline Li3Sm2Pt4 at its relaxed geometry. Source: Alexandria, functional PBE.

```
Li3Sm2Pt4
1.0
2.788 -7.453 0.000
2.788 7.453 0.000
0.000 0.000 7.666
Li Sm Pt
6 4 8
Direct
0.000 0.000 0.000
0.032 0.468 0.250
0.468 0.032 0.750
0.500 0.500 0.500
0.532 0.968 0.250
0.968 0.532 0.750
0.114 0.886 0.413
0.386 0.614 0.913
0.614 0.386 0.087
0.886 0.114 0.587
0.179 0.821 0.032
0.200 0.300 0.250
0.300 0.200 0.750
0.321 0.679 0.532
0.679 0.321 0.468
0.700 0.800 0.250
0.800 0.700 0.750
0.821 0.179 0.968
```

Properties
E: -5.20 eV per atom
Energy of formation: -0.830 eV per atom

[6]
Crystalline ZnRe2Se at its relaxed geometry. Source: Alexandria, functional PBE.

```
ZnRe2Se
1.0
4.411 -1.456 0.000
4.411 1.456 0.000
-0.881 0.000 4.762
Zn Re Se
1 2 1
Direct
0.000 0.000 0.000
0.245 0.245 0.750
0.755 0.755 0.250
0.500 0.500 0.500
```

Properties
Distance to the lowest polymorph of the same formula: 0.344 eV per atom
E: -6.87 eV per atom
Formation energy (no corrections): 0.541 eV/atom

[7]
Crystalline LiNi2Ag2 at its relaxed geometry. Source: Alexandria, functional PBE.

```
LiNi2Ag2
1.0
-1.656 1.656 7.072
1.656 -1.656 7.072
1.656 1.656 -7.072
Li Ni Ag
1 2 2
Direct
0.000 0.000 0.000
0.250 0.750 0.500
0.750 0.250 0.500
0.400 0.400 0.000
0.600 0.600 0.000
```

Properties
Distance to the lowest polymorph of the same formula: 0.028 eV per atom
E: -3.62 eV per atom
Energy of formation: 0.220 eV per atom

[8]
Crystalline GaHgCl4 at its relaxed geometry. Source: Alexandria, functional PBE.

```
GaHgCl4
1.0
9.465 0.000 0.000
0.000 7.008 0.000
0.000 0.000 12.126
Ga Hg Cl
4 4 16
Direct
0.094 0.250 0.150
0.406 0.750 0.650
0.594 0.250 0.350
0.906 0.750 0.850
0.154 0.250 0.831
0.346 0.750 0.331
0.654 0.250 0.669
0.846 0.750 0.169
0.086 0.510 0.257
0.086 0.990 0.257
0.091 0.750 0.957
0.210 0.750 0.554
0.290 0.250 0.054
0.409 0.250 0.457
0.414 0.010 0.757
0.414 0.490 0.757
0.586 0.510 0.243
0.586 0.990 0.243
0.591 0.750 0.543
0.710 0.750 0.946
0.790 0.250 0.446
0.909 0.250 0.043
0.914 0.010 0.743
0.914 0.490 0.743
```

Properties
E: -2.60 eV per atom
Formation energy (no corrections): -0.812 eV/atom